# 1
Entry from the Alexandria database: a geometry-optimized PmEr2ThAs4 structure (GGA-PBE).

Properties
total energy = -6.4915 eV per atom
formation energy = -1.505 eV/atom

a = 7.1923 Å, b = 4.1738 Å, c = 7.2207 Å
α = 90.00°, β = 109.50°, γ = 90.00°
Space group P2/m (No. 10)
Inequivalent atoms, fractional coordinates:
1 Pm 0.0000 0.0000 0.0000 x1
2 Er 0.5000 0.0000 0.5000 x1
3 Er 0.5000 0.5000 0.0000 x1
4 Th 0.0000 0.5000 0.5000 x1
5 As 0.2593 0.5000 0.2539 x2
6 As 0.2600 0.0000 0.7532 x2



# 2
Entry from the Alexandria database: a geometry-optimized Sc2MnTc structure (GGA-PBE).

Properties
total energy = -7.8772 eV per atom
formation energy = 0.172 eV/atom

a = 3.1434 Å, b = 3.1434 Å, c = 25.8346 Å
α = 90.00°, β = 90.00°, γ = 120.00°
Space group R-3m (No. 166, hexagonal axes)
Inequivalent atoms, fractional coordinates:
1 Sc 0.0000 0.0000 0.2433 x6
2 Mn 0.0000 0.0000 0.0000 x3
3 Tc 0.0000 0.0000 0.5000 x3



# 3
Entry from the Alexandria database: a geometry-optimized PuU2Fe structure (GGA-PBE).

Properties
total energy = -11.1683 eV per atom
energy above the lowest structure with this stoichiometry = 151 meV per atom
formation energy = 0.174 eV/atom

a = 3.4188 Å, b = 3.4188 Å, c = 6.4293 Å
α = 90.00°, β = 90.00°, γ = 90.00°
Space group P4/mmm (No. 123)
Inequivalent atoms, fractional coordinates:
1 Pu 0.0000 0.0000 0.0000 x1
2 U 0.5000 0.5000 0.2910 x2
3 Fe 0.0000 0.0000 0.5000 x1



# 4
Entry from the Alexandria database: a geometry-optimized Sc4GeBi2 structure (GGA-PBE).

Properties
total energy = -5.8313 eV per atom
formation energy = -0.445 eV/atom

a = 4.9588 Å, b = 4.9588 Å, c = 15.3802 Å
α = 90.00°, β = 90.00°, γ = 90.00°
Space group I4/mmm (No. 139)
Inequivalent atoms, fractional coordinates:
1 Sc 0.0000 0.0000 0.1679 x4
2 Sc 0.0000 0.5000 0.0000 x4
3 Ge 0.0000 0.0000 0.0000 x2
4 Bi 0.0000 0.0000 0.3608 x4



# 5
Entry from the Alexandria database: a geometry-optimized Tb2HoBe structure (GGA-PBE).

Properties
total energy = -3.7115 eV per atom
energy above the lowest structure with this stoichiometry = 601 meV per atom
formation energy = 0.680 eV/atom

a = 3.4225 Å, b = 3.4225 Å, c = 34.2323 Å
α = 90.00°, β = 90.00°, γ = 120.00°
Space group R-3m (No. 166, hexagonal axes)
Inequivalent atoms, fractional coordinates:
1 Tb 0.0000 0.0000 0.0845 x6
2 Ho 0.0000 0.0000 0.5000 x3
3 Be 0.0000 0.0000 0.0000 x3



# 6
Entry from the Alexandria database: a geometry-optimized ErTmMn structure (GGA-PBE).

Properties
total energy = -5.7032 eV per atom
energy above the lowest structure with this stoichiometry = 246 meV per atom
formation energy = 0.365 eV/atom

a = 10.1414 Å, b = 3.3700 Å, c = 8.9558 Å
α = 90.00°, β = 101.46°, γ = 90.00°
Space group C2/m (No. 12)
Inequivalent atoms, fractional coordinates:
1 Er 0.1563 0.0000 0.1051 x4
2 Tm 0.0815 0.0000 0.6810 x4
3 Mn 0.2196 0.0000 0.4319 x4



# 7
Entry from the Alexandria database: a geometry-optimized SmZnIrPd structure (GGA-PBE).

Properties
total energy = -5.4951 eV per atom
formation energy = -0.483 eV/atom

a = 6.6390 Å, b = 6.6390 Å, c = 6.6390 Å
α = 90.00°, β = 90.00°, γ = 90.00°
Space group F-43m (No. 216)
Inequivalent atoms, fractional coordinates:
1 Sm 0.0000 0.0000 0.0000 x4
2 Zn 0.0000 0.0000 0.5000 x4
3 Ir 0.2500 0.2500 0.2500 x4
4 Pd 0.2500 0.2500 0.7500 x4



# 8
Entry from the Alexandria database: a geometry-optimized ZnTc2Au structure (GGA-PBE).

Properties
total energy = -6.0691 eV per atom
formation energy = 0.252 eV/atom

a = 3.7275 Å, b = 3.7275 Å, c = 4.3860 Å
α = 90.00°, β = 90.00°, γ = 90.00°
Space group P4/mmm (No. 123)
Inequivalent atoms, fractional coordinates:
1 Zn 0.0000 0.0000 0.0000 x1
2 Tc 0.0000 0.5000 0.5000 x2
3 Au 0.5000 0.5000 0.0000 x1



# 9
Entry from the Alexandria database: a geometry-optimized HfV4Si4 structure (GGA-PBE).

Properties
total energy = -7.6780 eV per atom
raw formation energy = -109 meV/atom

a = 7.8150 Å, b = 7.8150 Å, c = 4.5853 Å
α = 90.00°, β = 90.00°, γ = 90.00°
Space group P4_2/n (No. 86, origin choice 2)
Inequivalent atoms, fractional coordinates:
1 Hf 0.2500 0.2500 0.2500 x2
2 V 0.1207 0.8558 0.6492 x8
3 Si 0.0093 0.8864 0.1640 x8



# 10
Entry from the Alexandria database: a geometry-optimized AcTeC2O8 structure (GGA-PBE).

Properties
total energy = -6.9427 eV per atom
raw formation energy = -1496 meV/atom

a = 5.0488 Å, b = 5.0488 Å, c = 17.2971 Å
α = 90.00°, β = 90.00°, γ = 120.00°
Space group R-3m (No. 166, hexagonal axes)
Inequivalent atoms, fractional coordinates:
1 Ac 0.0000 0.0000 0.0000 x3
2 Te 0.0000 0.0000 0.5000 x3
3 C 0.0000 0.0000 0.2197 x6
4 O 0.0000 0.0000 0.1447 x6
5 O 0.0297 0.5149 0.9197 x18



# 11
Entry from the Alexandria database: a geometry-optimized LaHfTe2 structure (GGA-PBE).

Properties
total energy = -5.7168 eV per atom
energy above the lowest structure with this stoichiometry = 427 meV per atom
raw formation energy = -426 meV/atom

a = 6.7784 Å, b = 6.7784 Å, c = 13.7251 Å
α = 90.00°, β = 90.00°, γ = 90.00°
Space group I-42d (No. 122)
Inequivalent atoms, fractional coordinates:
1 La 0.0000 0.0000 0.0000 x4
2 Hf 0.0000 0.0000 0.5000 x4
3 Te 0.2039 0.2500 0.6250 x8



# 12
Entry from the Alexandria database: a geometry-optimized Dy3TmPu3Te8 structure (GGA-PBE).

Properties
total energy = -7.0220 eV per atom
raw formation energy = -1262 meV/atom

a = 8.7427 Å, b = 8.7427 Å, c = 21.5593 Å
α = 90.00°, β = 90.00°, γ = 120.00°
Space group R-3m (No. 166, hexagonal axes)
Inequivalent atoms, fractional coordinates:
1 Dy 0.0000 0.5000 0.0000 x9
2 Tm 0.0000 0.0000 0.0000 x3
3 Pu 0.0000 0.5000 0.5000 x9
4 Te 0.0000 0.0000 0.2514 x6
5 Te 0.0035 0.5017 0.2513 x18



Among the records above, which one has the highest total energy? Tb2HoBe